DFT (PBE) results for crystalline BeSbCl at its relaxed geometry.

The calculation puts the density of states at the Fermi level at 1.430 states/eV per cell. As for the energy relative to the elements, uncorrected: -1.0 eV per formula unit. The energy above the most stable polymorph in this dataset is 0 meV per atom.

The space group is P3m1 (No. 156) and the conventional cell measures 3.2363, 3.2363 and 7.4302 Å, with angles of 90.00, 90.00 and 120.00 degrees. The asymmetric unit holds Be at (0.0000, 0.0000, 0.0000), Sb at (0.3333, 0.6667, 0.7194) and Cl at (0.6667, 0.3333, 0.1581).